RbHfTe2N: relaxed, PBE.

The value obtained for the energy above the most stable polymorph in this dataset is 0 meV/atom. The calculated volume comes out at 147 Å³ per cell. For the formation energy from raw total energies, the calculation gives -40.5 kJ/mol of atoms. The calculation puts the total energy at -5.53 eV per atom.

It has space group P4/mmm (No. 123), with a = 6.055 Å, b = 6.055 Å, c = 4.006 Å, α = 90.00°, β = 90.00° and γ = 90.00°. The distinct sites, in fractional coordinates, are Rb at (0.000, 0.000, 0.000), Hf at (0.500, 0.500, 0.500), Te at (0.000, 0.500, 0.500) and N at (0.500, 0.500, 0.000).